! BeCrSi2 (PBE, relaxed); values from VASP
! Space-group type: Cm, No. 8
! ΔE_f (raw), eV/atom: 0.04
! Magnetic moment, Bohr magnetons per cell: 0.00
&SYSTEM
  ibrav = 0, nat = 4, ntyp = 3
/
ATOMIC_SPECIES
Be 9.01 Be.upf
Cr 52.00 Cr.upf
Si 28.09 Si.upf
CELL_PARAMETERS angstrom
4.3538 -1.2753 0.0000
4.3538 1.2753 0.0000
-0.3368 0.0000 4.1720
ATOMIC_POSITIONS angstrom
Be 0.0000 0.0000 0.0000
Cr 2.0311 0.0000 3.0921
Si 4.3555 0.0000 2.1982
Si 6.5495 0.0000 0.9679

***

! Sr2CaPd9 (PBE, relaxed); values from VASP
! Space-group type: R-3m, No. 166
! Calculated formation energy, eV/atom: -0.51
! Magnetic moment, Bohr magnetons per cell: 0.00
&SYSTEM
  ibrav = 0, nat = 12, ntyp = 3
/
ATOMIC_SPECIES
Sr 87.62 Sr.upf
Ca 40.08 Ca.upf
Pd 106.42 Pd.upf
CELL_PARAMETERS angstrom
2.7353 1.5792 9.0646
-2.7353 1.5792 9.0646
0.0000 -3.1584 9.0646
ATOMIC_POSITIONS angstrom
Sr 0.0000 0.0000 3.7848
Sr 0.0000 0.0000 23.4090
Ca 0.0000 0.0000 0.0000
Pd -1.3724 -0.7924 11.3150
Pd 0.0000 0.0000 9.0488
Pd 0.0000 -1.5847 15.8788
Pd -1.3724 0.7924 15.8788
Pd 0.0000 0.0000 13.5969
Pd 1.3724 -0.7924 11.3150
Pd 0.0000 1.5847 11.3150
Pd 0.0000 0.0000 18.1451
Pd 1.3724 0.7924 15.8788

***

! La5PrSm2Er (PBE, relaxed); values from VASP
! Space-group type: I4/mcm, No. 140
! Calculated formation energy, eV/atom: 0.27
! Magnetic moment, Bohr magnetons per cell: 0.00
&SYSTEM
  ibrav = 0, nat = 18, ntyp = 4
/
ATOMIC_SPECIES
La 138.91 La.upf
Pr 140.91 Pr.upf
Sm 150.36 Sm.upf
Er 167.26 Er.upf
CELL_PARAMETERS angstrom
-4.7554 4.7554 7.2075
4.7554 -4.7554 7.2075
4.7554 4.7554 -7.2075
ATOMIC_POSITIONS angstrom
La 0.0000 0.0000 0.0000
La 6.7043 1.9488 -1.9600
La 1.9488 2.8066 -1.9600
La 6.7043 1.9488 1.9600
La 1.9488 2.8066 1.9600
La 0.0000 0.0000 7.2075
La 2.8066 1.9488 5.2475
La -1.9488 2.8066 5.2475
La 2.8066 1.9488 9.1675
La -1.9488 2.8066 9.1675
Pr 0.0000 0.0000 3.6037
Pr 0.0000 0.0000 10.8112
Sm 3.7142 1.0412 0.0000
Sm 3.7142 -1.0412 7.2075
Sm 1.0412 5.7966 0.0000
Sm 1.0412 3.7142 7.2075
Er 4.7554 0.0000 3.6037
Er 0.0000 4.7554 3.6037

***

! Sr2MgP2 (PBE, relaxed); values from VASP
! Space-group type: Ibam, No. 72
! Calculated formation energy, eV/atom: -1.01
! Magnetic moment, Bohr magnetons per cell: 0.00
&SYSTEM
  ibrav = 0, nat = 10, ntyp = 3
/
ATOMIC_SPECIES
Sr 87.62 Sr.upf
Mg 24.30 Mg.upf
P 30.97 P.upf
CELL_PARAMETERS angstrom
-3.4817 6.1577 3.1341
3.4817 -6.1577 3.1341
3.4817 6.1577 -3.1341
ATOMIC_POSITIONS angstrom
Sr 1.1575 1.7666 0.0000
Sr 1.1575 -1.7666 3.1341
Sr 2.3242 7.9243 0.0000
Sr 2.3242 4.3911 3.1341
Mg 3.4817 0.0000 1.5670
Mg 0.0000 6.1577 1.5670
P 5.0435 1.3642 0.0000
P 1.5618 4.7935 0.0000
P 1.9199 1.3642 3.1341
P -1.5618 4.7935 3.1341

***

! Hf2VCuI (PBE, relaxed); values from VASP
! Space-group type: P4/mmm, No. 123
! ΔE_f (raw), eV/atom: 0.88
! Magnetic moment, Bohr magnetons per cell: 0.00
&SYSTEM
  ibrav = 0, nat = 5, ntyp = 4
/
ATOMIC_SPECIES
Hf 178.49 Hf.upf
V 50.94 V.upf
Cu 63.55 Cu.upf
I 126.90 I.upf
CELL_PARAMETERS angstrom
4.8756 0.0000 0.0000
0.0000 4.8756 0.0000
0.0000 0.0000 4.8054
ATOMIC_POSITIONS angstrom
Hf 0.0000 2.4378 0.0000
Hf 2.4378 0.0000 0.0000
V 0.0000 0.0000 0.0000
Cu 0.0000 0.0000 2.4027
I 2.4378 2.4378 2.4027

***

! Nd5Ga4 (PBE, relaxed); values from VASP
! Space-group type: C2/m, No. 12
! Calculated formation energy, eV/atom: -0.53
! Magnetic moment, Bohr magnetons per cell: 0.00
&SYSTEM
  ibrav = 0, nat = 9, ntyp = 2
/
ATOMIC_SPECIES
Nd 144.24 Nd.upf
Ga 69.72 Ga.upf
CELL_PARAMETERS angstrom
5.6424 -2.2939 0.0000
5.6424 2.2939 0.0000
-4.2017 0.0000 9.5224
ATOMIC_POSITIONS angstrom
Nd 0.0000 0.0000 0.0000
Nd -0.4536 0.0000 3.7701
Nd -0.7535 0.0000 7.8794
Nd 7.8367 0.0000 1.6430
Nd 7.5368 0.0000 5.7523
Ga 2.7566 0.0000 3.6870
Ga 4.4024 0.0000 1.6319
Ga 2.6808 0.0000 7.8905
Ga 4.3266 0.0000 5.8354

***

! LiCa2Ni3As4 (PBE, relaxed); values from VASP
! Space-group type: P-4m2, No. 115
! Calculated formation energy, eV/atom: -0.70
! Magnetic moment, Bohr magnetons per cell: 0.00
&SYSTEM
  ibrav = 0, nat = 10, ntyp = 4
/
ATOMIC_SPECIES
Li 6.94 Li.upf
Ca 40.08 Ca.upf
Ni 58.69 Ni.upf
As 74.92 As.upf
CELL_PARAMETERS angstrom
4.1880 0.0000 0.0000
0.0000 4.1880 0.0000
0.0000 0.0000 9.7738
ATOMIC_POSITIONS angstrom
Li 0.0000 0.0000 0.0000
Ca 0.0000 2.0940 7.3405
Ca 2.0940 0.0000 2.4333
Ni 0.0000 2.0940 3.7162
Ni 2.0940 0.0000 6.0576
Ni 2.0940 2.0940 0.0000
As 0.0000 0.0000 4.8869
As 0.0000 2.0940 1.3498
As 2.0940 0.0000 8.4240
As 2.0940 2.0940 4.8869

***

! Ti2TlBr (PBE, relaxed); values from VASP
! Space-group type: Fm-3m, No. 225
! Distance to the lowest polymorph of the same formula, eV/atom: 0.000
! ΔE_f (raw), eV/atom: 0.24
! Magnetic moment, Bohr magnetons per cell: 1.66
&SYSTEM
  ibrav = 0, nat = 4, ntyp = 3
/
ATOMIC_SPECIES
Ti 47.87 Ti.upf
Tl 204.38 Tl.upf
Br 79.90 Br.upf
CELL_PARAMETERS angstrom
0.0000 3.4118 3.4118
3.4118 0.0000 3.4118
3.4118 3.4118 0.0000
ATOMIC_POSITIONS angstrom
Ti 1.7059 1.7059 1.7059
Ti 5.1176 5.1176 5.1176
Tl 0.0000 0.0000 0.0000
Br 3.4118 3.4118 3.4118

***

! CsAlP2S (PBE, relaxed); values from VASP
! Space-group type: P4/mmm, No. 123
! Distance to the lowest polymorph of the same formula, eV/atom: 0.000
! ΔE_f (raw), eV/atom: 0.13
! Magnetic moment, Bohr magnetons per cell: 0.90
&SYSTEM
  ibrav = 0, nat = 5, ntyp = 4
/
ATOMIC_SPECIES
Cs 132.91 Cs.upf
Al 26.98 Al.upf
P 30.97 P.upf
S 32.06 S.upf
CELL_PARAMETERS angstrom
4.8774 0.0000 0.0000
0.0000 4.8774 0.0000
0.0000 0.0000 5.0341
ATOMIC_POSITIONS angstrom
Cs 0.0000 0.0000 0.0000
Al 2.4387 2.4387 2.5171
P 0.0000 2.4387 2.5171
P 2.4387 0.0000 2.5171
S 2.4387 2.4387 0.0000

***

! EuDySnPt (PBE, relaxed); values from VASP
! Space-group type: F-43m, No. 216
! Calculated formation energy, eV/atom: -0.75
! Magnetic moment, Bohr magnetons per cell: 6.83
&SYSTEM
  ibrav = 0, nat = 4, ntyp = 4
/
ATOMIC_SPECIES
Eu 151.96 Eu.upf
Dy 162.50 Dy.upf
Sn 118.71 Sn.upf
Pt 195.08 Pt.upf
CELL_PARAMETERS angstrom
0.0000 3.6914 3.6914
3.6914 0.0000 3.6914
3.6914 3.6914 0.0000
ATOMIC_POSITIONS angstrom
Eu 0.0000 0.0000 0.0000
Dy 3.6914 3.6914 3.6914
Sn 1.8457 1.8457 1.8457
Pt 5.5371 5.5371 5.5371

***

! ErCo3Ni2 (PBE, relaxed); values from VASP
! Space-group type: P6/mmm, No. 191
! Calculated formation energy, eV/atom: -0.21
! Magnetic moment, Bohr magnetons per cell: 5.00
&SYSTEM
  ibrav = 0, nat = 6, ntyp = 3
/
ATOMIC_SPECIES
Er 167.26 Er.upf
Co 58.93 Co.upf
Ni 58.69 Ni.upf
CELL_PARAMETERS angstrom
4.8373 0.0000 0.0000
-2.4187 4.1892 0.0000
0.0000 0.0000 4.0182
ATOMIC_POSITIONS angstrom
Er 0.0000 0.0000 0.0000
Co -1.2093 2.0946 2.0091
Co 2.4187 0.0000 2.0091
Co 1.2093 2.0946 2.0091
Ni 0.0000 2.7928 0.0000
Ni 2.4187 1.3964 0.0000

***

! U3Al12Ru4 (PBE, relaxed); values from VASP
! Space-group type: P6_3/mmc, No. 194
! Calculated formation energy, eV/atom: -0.45
! Magnetic moment, Bohr magnetons per cell: 10.14
&SYSTEM
  ibrav = 0, nat = 38, ntyp = 3
/
ATOMIC_SPECIES
U 238.03 U.upf
Al 26.98 Al.upf
Ru 101.07 Ru.upf
CELL_PARAMETERS angstrom
8.8239 0.0000 0.0000
-4.4120 7.6418 0.0000
0.0000 0.0000 9.4310
ATOMIC_POSITIONS angstrom
U 0.0000 3.0954 2.3578
U -1.7313 6.0940 2.3578
U 2.6807 1.5477 7.0733
U 1.7313 6.0940 2.3578
U 6.1432 1.5477 7.0733
U 4.4120 4.5463 7.0733
Al 0.0000 0.0000 2.3578
Al 0.0000 0.0000 7.0733
Al -1.3903 4.2918 7.0733
Al 0.0000 2.4552 5.4763
Al 0.0000 2.4552 8.6703
Al -2.2857 6.4142 5.4763
Al -2.2857 6.4142 8.6703
Al 2.1263 1.2276 0.7608
Al 2.1263 1.2276 3.9547
Al 0.0000 5.0945 0.1222
Al 0.0000 5.0945 4.5933
Al 1.3903 4.2918 7.0733
Al 0.0000 6.6998 7.0733
Al 4.4120 0.9419 2.3578
Al 3.0217 3.3499 2.3578
Al 4.4120 2.5472 4.8377
Al 4.4120 2.5472 9.3089
Al 2.2857 6.4142 5.4763
Al 2.2857 6.4142 8.6703
Al 6.6977 1.2276 0.7608
Al 6.6977 1.2276 3.9547
Al 4.4120 5.1865 0.7608
Al 4.4120 5.1865 3.9547
Al 5.8022 3.3499 2.3578
Ru 0.0000 0.0000 0.0000
Ru 0.0000 0.0000 4.7155
Ru -2.2060 3.8209 0.0000
Ru -2.2060 3.8209 4.7155
Ru 4.4120 0.0000 0.0000
Ru 4.4120 0.0000 4.7155
Ru 2.2060 3.8209 0.0000
Ru 2.2060 3.8209 4.7155

***

! Rb2CdIn4Hg3 (PBE, relaxed); values from VASP
! Space-group type: P-4m2, No. 115
! Calculated formation energy, eV/atom: -0.12
! Magnetic moment, Bohr magnetons per cell: 0.00
&SYSTEM
  ibrav = 0, nat = 10, ntyp = 4
/
ATOMIC_SPECIES
Rb 85.47 Rb.upf
Cd 112.41 Cd.upf
In 114.82 In.upf
Hg 200.59 Hg.upf
CELL_PARAMETERS angstrom
5.0068 0.0000 0.0000
0.0000 5.0068 0.0000
0.0000 0.0000 12.6438
ATOMIC_POSITIONS angstrom
Rb 0.0000 2.5034 3.1361
Rb 2.5034 0.0000 9.5077
Cd 2.5034 2.5034 0.0000
In 0.0000 0.0000 6.3219
In 0.0000 2.5034 11.0187
In 2.5034 0.0000 1.6251
In 2.5034 2.5034 6.3219
Hg 0.0000 0.0000 0.0000
Hg 0.0000 2.5034 8.0694
Hg 2.5034 0.0000 4.5744

***

! InGaS2Cl (PBE, relaxed); values from VASP
! Space-group type: P4/mmm, No. 123
! Distance to the lowest polymorph of the same formula, eV/atom: 0.000
! ΔE_f (raw), eV/atom: -0.24
! Magnetic moment, Bohr magnetons per cell: 0.00
&SYSTEM
  ibrav = 0, nat = 5, ntyp = 4
/
ATOMIC_SPECIES
In 114.82 In.upf
Ga 69.72 Ga.upf
S 32.06 S.upf
Cl 35.45 Cl.upf
CELL_PARAMETERS angstrom
4.8217 0.0000 0.0000
0.0000 4.8217 0.0000
0.0000 0.0000 4.9600
ATOMIC_POSITIONS angstrom
In 0.0000 0.0000 0.0000
Ga 2.4109 2.4109 2.4800
S 0.0000 2.4109 2.4800
S 2.4109 0.0000 2.4800
Cl 2.4109 2.4109 0.0000

***

! PuCd5Hg6 (PBE, relaxed); values from VASP
! Space-group type: C2/m, No. 12
! Distance to the lowest polymorph of the same formula, eV/atom: 0.000
! Calculated formation energy, eV/atom: -0.03
! Magnetic moment, Bohr magnetons per cell: 5.79
&SYSTEM
  ibrav = 0, nat = 12, ntyp = 3
/
ATOMIC_SPECIES
Pu 244.00 Pu.upf
Cd 112.41 Cd.upf
Hg 200.59 Hg.upf
CELL_PARAMETERS angstrom
2.4095 -7.3270 0.0000
2.4095 7.3270 0.0000
-0.1581 0.0000 8.2392
ATOMIC_POSITIONS angstrom
Pu 0.0000 0.0000 0.0000
Cd -0.0791 0.0000 4.1196
Cd 2.3304 2.4915 4.1196
Cd 2.4095 2.4337 0.0000
Cd 2.4095 -2.4337 0.0000
Cd 2.3304 -2.4915 4.1196
Hg 2.2887 4.8575 6.1693
Hg 2.3721 4.8575 2.0699
Hg 2.2753 0.0000 6.0737
Hg 2.3855 0.0000 2.1655
Hg 2.2887 -4.8575 6.1693
Hg 2.3721 -4.8575 2.0699

***

! Ac2Pb (PBE, relaxed); values from VASP
! Space-group type: Fd-3m, No. 227
! Distance to the lowest polymorph of the same formula, eV/atom: 0.556
! Calculated formation energy, eV/atom: 0.19
! Magnetic moment, Bohr magnetons per cell: 0.00
&SYSTEM
  ibrav = 0, nat = 6, ntyp = 2
/
ATOMIC_SPECIES
Ac 227.00 Ac.upf
Pb 207.20 Pb.upf
CELL_PARAMETERS angstrom
0.0000 4.9707 4.9707
4.9707 0.0000 4.9707
4.9707 4.9707 0.0000
ATOMIC_POSITIONS angstrom
Ac 0.0000 0.0000 0.0000
Ac 2.4853 2.4853 0.0000
Ac 2.4853 0.0000 2.4853
Ac 0.0000 2.4853 2.4853
Pb 3.7280 3.7280 3.7280
Pb 6.2133 6.2133 6.2133

***

! TbNd14Er (PBE, relaxed); values from VASP
! Space-group type: P4/mmm, No. 123
! Calculated formation energy, eV/atom: 0.01
! Magnetic moment, Bohr magnetons per cell: 0.00
&SYSTEM
  ibrav = 0, nat = 16, ntyp = 3
/
ATOMIC_SPECIES
Tb 158.93 Tb.upf
Nd 144.24 Nd.upf
Er 167.26 Er.upf
CELL_PARAMETERS angstrom
7.3236 0.0000 0.0000
0.0000 7.3236 0.0000
0.0000 0.0000 10.3580
ATOMIC_POSITIONS angstrom
Tb 0.0000 0.0000 0.0000
Nd 0.0000 0.0000 5.1790
Nd 0.0000 3.6618 0.0000
Nd 0.0000 3.6618 5.1790
Nd 1.8338 1.8338 2.5671
Nd 1.8338 1.8338 7.7909
Nd 1.8338 5.4897 2.5671
Nd 1.8338 5.4897 7.7909
Nd 3.6618 0.0000 0.0000
Nd 3.6618 0.0000 5.1790
Nd 3.6618 3.6618 5.1790
Nd 5.4897 1.8338 2.5671
Nd 5.4897 1.8338 7.7909
Nd 5.4897 5.4897 2.5671
Nd 5.4897 5.4897 7.7909
Er 3.6618 3.6618 0.0000

***

! UCoTe2 (PBE, relaxed); values from VASP
! Space-group type: R-3m, No. 166
! ΔE_f (raw), eV/atom: 0.23
! Magnetic moment, Bohr magnetons per cell: 3.35
&SYSTEM
  ibrav = 0, nat = 4, ntyp = 3
/
ATOMIC_SPECIES
U 238.03 U.upf
Co 58.93 Co.upf
Te 127.60 Te.upf
CELL_PARAMETERS angstrom
1.7330 1.0006 9.3869
-1.7330 1.0006 9.3869
0.0000 -2.0012 9.3869
ATOMIC_POSITIONS angstrom
U 0.0000 0.0000 0.0000
Co 0.0000 0.0000 14.0803
Te 0.0000 0.0000 3.1485
Te 0.0000 0.0000 25.0121

***

! ZrCoAg2 (PBE, relaxed); values from VASP
! Space-group type: I-4m2, No. 119
! Distance to the lowest polymorph of the same formula, eV/atom: 0.080
! Calculated formation energy, eV/atom: 0.09
! Magnetic moment, Bohr magnetons per cell: 0.00
&SYSTEM
  ibrav = 0, nat = 4, ntyp = 3
/
ATOMIC_SPECIES
Zr 91.22 Zr.upf
Co 58.93 Co.upf
Ag 107.87 Ag.upf
CELL_PARAMETERS angstrom
-2.0558 2.0558 3.9548
2.0558 -2.0558 3.9548
2.0558 2.0558 -3.9548
ATOMIC_POSITIONS angstrom
Zr 0.0000 0.0000 0.0000
Co 0.0000 2.0558 1.9774
Ag 2.0558 0.0000 1.9774
Ag 0.0000 0.0000 3.9548

***

! LiTcPt2 (PBE, relaxed); values from VASP
! Space-group type: P2/m, No. 10
! Distance to the lowest polymorph of the same formula, eV/atom: 0.066
! Calculated formation energy, eV/atom: -0.27
! Magnetic moment, Bohr magnetons per cell: 0.00
&SYSTEM
  ibrav = 0, nat = 4, ntyp = 3
/
ATOMIC_SPECIES
Li 6.94 Li.upf
Tc 98.00 Tc.upf
Pt 195.08 Pt.upf
CELL_PARAMETERS angstrom
2.7370 0.0000 0.0000
0.0000 3.8764 0.0000
-0.0074 0.0000 5.4156
ATOMIC_POSITIONS angstrom
Li 0.0000 0.0000 0.0000
Tc -0.0037 0.0000 2.7078
Pt 1.3617 1.9382 1.3492
Pt 1.3679 1.9382 4.0664

***

! SmSc2Co9 (PBE, relaxed); values from VASP
! Space-group type: R-3m, No. 166
! Calculated formation energy, eV/atom: -0.23
! Magnetic moment, Bohr magnetons per cell: 10.62
&SYSTEM
  ibrav = 0, nat = 12, ntyp = 3
/
ATOMIC_SPECIES
Sm 150.36 Sm.upf
Sc 44.96 Sc.upf
Co 58.93 Co.upf
CELL_PARAMETERS angstrom
2.4582 1.4192 7.9231
-2.4582 1.4192 7.9231
0.0000 -2.8385 7.9231
ATOMIC_POSITIONS angstrom
Sm 0.0000 0.0000 0.0000
Sc 0.0000 0.0000 3.3652
Sc 0.0000 0.0000 20.4041
Co -1.2527 -0.7232 9.9348
Co 0.0000 0.0000 7.9756
Co 0.0000 -1.4464 13.8345
Co -1.2527 0.7232 13.8345
Co 0.0000 0.0000 11.8846
Co 1.2527 -0.7232 9.9348
Co 0.0000 1.4464 9.9348
Co 0.0000 0.0000 15.7937
Co 1.2527 0.7232 13.8345

***

! CuIrI2 (PBE, relaxed); values from VASP
! Space-group type: I-42d, No. 122
! Distance to the lowest polymorph of the same formula, eV/atom: 0.000
! ΔE_f (raw), eV/atom: 0.53
! Magnetic moment, Bohr magnetons per cell: 0.00
&SYSTEM
  ibrav = 0, nat = 8, ntyp = 3
/
ATOMIC_SPECIES
Cu 63.55 Cu.upf
Ir 192.22 Ir.upf
I 126.90 I.upf
CELL_PARAMETERS angstrom
-3.0085 3.0085 6.0648
3.0085 -3.0085 6.0648
3.0085 3.0085 -6.0648
ATOMIC_POSITIONS angstrom
Cu 0.0000 0.0000 0.0000
Cu 0.0000 3.0085 3.0324
Ir 3.0085 0.0000 3.0324
Ir 0.0000 0.0000 6.0648
I 1.5043 -1.4918 4.5486
I 1.5167 1.5043 1.5162
I 1.5043 4.5004 -1.5162
I 1.4918 1.5043 7.5811

***

! HfGePb3 (PBE, relaxed); values from VASP
! Space-group type: Pm-3m, No. 221
! Distance to the lowest polymorph of the same formula, eV/atom: 0.270
! Calculated formation energy, eV/atom: 0.95
! Magnetic moment, Bohr magnetons per cell: 0.00
&SYSTEM
  ibrav = 0, nat = 5, ntyp = 3
/
ATOMIC_SPECIES
Hf 178.49 Hf.upf
Ge 72.64 Ge.upf
Pb 207.20 Pb.upf
CELL_PARAMETERS angstrom
5.4214 0.0000 0.0000
0.0000 5.4214 0.0000
0.0000 0.0000 5.4214
ATOMIC_POSITIONS angstrom
Hf 0.0000 0.0000 0.0000
Ge 2.7107 2.7107 2.7107
Pb 0.0000 2.7107 2.7107
Pb 2.7107 0.0000 2.7107
Pb 2.7107 2.7107 0.0000